No. 1
Here is crystalline Np3U2N4 at its relaxed geometry from Alexandria. Energies are from PBE.

Cell: 5.9441 5.9441 8.3286 Å, 119.47 119.47 33.10°
Last column: nearest neighbours and their distance in Å.
Fractional coordinates of all 9 atoms:
Np 0.0000 0.0000 0.0000  6 N 2.42-2.43
Np 0.1948 0.1948 0.7893  5 N 2.34-2.47
Np 0.8052 0.8052 0.2107  5 N 2.34-2.47
U 0.4061 0.4061 0.6025  4 N 2.36-2.42
U 0.5939 0.5939 0.3975  4 N 2.36-2.42
N 0.1992 0.1992 0.3125  3 U 2.36-2.38, 3 Np 2.42-2.47
N 0.3903 0.3903 0.0884  5 Np 2.34-2.43, 1 U 2.42
N 0.6097 0.6097 0.9116  5 Np 2.34-2.43, 1 U 2.42
N 0.8008 0.8008 0.6875  3 U 2.36-2.38, 3 Np 2.42-2.47

Output
- N(E_F) (states/eV per cell) = 20.4
- space-group type = No. 12
- raw formation energy (eV per atom) = -0.911

=====

No. 2
Here is crystalline Zr2Np3UN6 at its relaxed geometry from Alexandria. Energies are from PBE.

Cell: 5.8367 5.8367 5.8979 Å, 99.51 99.51 119.96°
Last column: nearest neighbours and their distance in Å.
Fractional coordinates of all 12 atoms:
Zr 0.1668 0.8332 0.0000  6 N 2.34
Zr 0.8332 0.1668 0.0000  6 N 2.34
Np 0.0000 0.0000 0.5000  6 N 2.44
Np 0.3322 0.6678 0.5000  6 N 2.42-2.45
Np 0.6678 0.3322 0.5000  6 N 2.42-2.45
U 0.5000 0.5000 0.0000  6 N 2.35
N 0.0862 0.4211 0.7646  2 Zr 2.34, 1 U 2.35, 3 Np 2.42-2.45
N 0.2435 0.2435 0.2350  2 Zr 2.34, 1 U 2.35, 3 Np 2.44-2.45
N 0.4211 0.0862 0.7646  2 Zr 2.34, 1 U 2.35, 3 Np 2.42-2.45
N 0.5789 0.9138 0.2354  2 Zr 2.34, 1 U 2.35, 3 Np 2.42-2.45
N 0.7565 0.7565 0.7650  2 Zr 2.34, 1 U 2.35, 3 Np 2.44-2.45
N 0.9138 0.5789 0.2354  2 Zr 2.34, 1 U 2.35, 3 Np 2.42-2.45

Output
- N(E_F) (states/eV per cell) = 17.6
- space-group type = No. 12
- raw formation energy (eV per atom) = -1.381

=====

No. 3
Here is crystalline ZrNpU2N4 at its relaxed geometry from Alexandria. Energies are from PBE.

Cell: 5.8571 3.3868 5.9114 Å, 90.00 109.24 90.00°
Last column: nearest neighbours and their distance in Å.
Fractional coordinates of all 8 atoms:
Zr 0.0000 0.0000 0.0000  6 N 2.33-2.36
Np 0.0000 0.5000 0.5000  6 N 2.43
U 0.5000 0.0000 0.5000  6 N 2.45-2.47
U 0.5000 0.5000 0.0000  6 N 2.36-2.38
N 0.2447 0.5000 0.2376  2 Zr 2.36, 3 U 2.36-2.45, 1 Np 2.43
N 0.2478 0.0000 0.7616  1 Zr 2.33, 3 U 2.38-2.47, 2 Np 2.43
N 0.7522 0.0000 0.2384  1 Zr 2.33, 3 U 2.38-2.47, 2 Np 2.43
N 0.7553 0.5000 0.7624  2 Zr 2.36, 3 U 2.36-2.45, 1 Np 2.43

Output
- N(E_F) (states/eV per cell) = 11.5
- space-group type = No. 10
- raw formation energy (eV per atom) = -1.387

=====

no.,V (A^3/atom)
1,15.3
2,13.7
3,13.8